Entry 1:
This record from Alexandria describes a geometry-optimized CeSmSnAu structure. The functional is PBE.

Values from the calculation:
Magnetization   1.9 μB/f.u.
Calculated total energy   -5.114 eV/atom

```
data_CeSmSnAu
_space_group_name_H-M_alt 'P 1'
_space_group_IT_number 1
_space_group_name_Hall 'P 1'
_cell_length_a 5.354
_cell_length_b 5.354
_cell_length_c 5.354
_cell_angle_alpha 60.00
_cell_angle_beta 60.00
_cell_angle_gamma 60.00
loop_
_atom_site_label
_atom_site_fract_x
_atom_site_fract_y
_atom_site_fract_z
_atom_site_occupancy
Ce1 0.000 0.000 0.000 1
Sm1 0.500 0.500 0.500 1
Au1 0.250 0.250 0.250 1
Sn1 0.750 0.750 0.750 1
```

---

Entry 2:
This record from Alexandria describes a geometry-optimized Ce2SmSn2Au2 structure. The functional is PBE.

Values from the calculation:
Magnetization   2.0 μB/f.u.
Calculated total energy   -5.025 eV/atom

```
data_Ce2SmSn2Au2
_space_group_name_H-M_alt 'P 1'
_space_group_IT_number 1
_space_group_name_Hall 'P 1'
_cell_length_a 4.726
_cell_length_b 4.726
_cell_length_c 9.548
_cell_angle_alpha 75.67
_cell_angle_beta 75.67
_cell_angle_gamma 60.00
loop_
_atom_site_label
_atom_site_fract_x
_atom_site_fract_y
_atom_site_fract_z
_atom_site_occupancy
Ce1 0.142 0.142 0.573 1
Ce2 0.858 0.858 0.427 1
Au1 0.429 0.429 0.712 1
Au2 0.571 0.571 0.288 1
Sn1 0.269 0.269 0.194 1
Sn2 0.731 0.731 0.806 1
Sm1 0.000 0.000 0.000 1
```

---

Entry 3:
This record from Alexandria describes a geometry-optimized CeSmTcAu structure. The functional is PBE.

Values from the calculation:
Magnetization   0.4 μB/f.u.
Calculated total energy   -6.322 eV/atom

```
data_CeSmTcAu
_space_group_name_H-M_alt 'P 1'
_space_group_IT_number 1
_space_group_name_Hall 'P 1'
_cell_length_a 5.054
_cell_length_b 5.054
_cell_length_c 5.054
_cell_angle_alpha 60.00
_cell_angle_beta 60.00
_cell_angle_gamma 60.00
loop_
_atom_site_label
_atom_site_fract_x
_atom_site_fract_y
_atom_site_fract_z
_atom_site_occupancy
Tc1 0.500 0.500 0.500 1
Sm1 0.250 0.250 0.250 1
Au1 0.000 0.000 0.000 1
Ce1 0.750 0.750 0.750 1
```

---

Entry 4:
This record from Alexandria describes a geometry-optimized CeSmZnAu structure. The functional is PBE.

Values from the calculation:
Magnetization   1.1 μB/f.u.
Calculated total energy   -4.239 eV/atom

```
data_CeSmZnAu
_space_group_name_H-M_alt 'P 1'
_space_group_IT_number 1
_space_group_name_Hall 'P 1'
_cell_length_a 5.194
_cell_length_b 5.194
_cell_length_c 5.194
_cell_angle_alpha 60.00
_cell_angle_beta 60.00
_cell_angle_gamma 60.00
loop_
_atom_site_label
_atom_site_fract_x
_atom_site_fract_y
_atom_site_fract_z
_atom_site_occupancy
Au1 0.500 0.500 0.500 1
Zn1 0.000 0.000 0.000 1
Ce1 0.750 0.750 0.750 1
Sm1 0.250 0.250 0.250 1
```

---

Entry 5:
This record from Alexandria describes a geometry-optimized CeSmZnAu structure. The functional is PBE.

Values from the calculation:
Magnetization   1.1 μB/f.u.
Calculated total energy   -4.266 eV/atom

```
data_CeSmZnAu
_space_group_name_H-M_alt 'P 1'
_space_group_IT_number 1
_space_group_name_Hall 'P 1'
_cell_length_a 3.675
_cell_length_b 3.675
_cell_length_c 7.279
_cell_angle_alpha 90.00
_cell_angle_beta 90.00
_cell_angle_gamma 90.00
loop_
_atom_site_label
_atom_site_fract_x
_atom_site_fract_y
_atom_site_fract_z
_atom_site_occupancy
Zn1 0.000 0.000 0.861 1
Ce1 0.500 0.500 0.611 1
Au1 0.000 0.000 0.351 1
Sm1 0.500 0.500 0.105 1
```

---

Entry 6:
This record from Alexandria describes a geometry-optimized CeSn2Au structure. The functional is PBE.

Values from the calculation:
Magnetization   0.7 μB/f.u.
Calculated total energy   -4.852 eV/atom

```
data_CeSn2Au
_space_group_name_H-M_alt 'P 1'
_space_group_IT_number 1
_space_group_name_Hall 'P 1'
_cell_length_a 4.452
_cell_length_b 4.685
_cell_length_c 4.685
_cell_angle_alpha 90.00
_cell_angle_beta 90.00
_cell_angle_gamma 90.00
loop_
_atom_site_label
_atom_site_fract_x
_atom_site_fract_y
_atom_site_fract_z
_atom_site_occupancy
Ce1 0.500 0.000 0.000 1
Au1 0.500 0.500 0.500 1
Sn1 0.000 0.500 0.000 1
Sn2 0.000 0.000 0.500 1
```

---

- The highest magnetization belongs to which entry?
  Ce2SmSn2Au2

---

- The lowest magnetization belongs to which entry?
  CeSmTcAu

---

- Look up the magnetization of the third one.
  0.4 μB/f.u.

---

- Which value of calculated total energy does entry 4 give?
  -4.239 eV/atom